# BaLuZnSe3, optimized geometry, DFT PBE-GGA
# - magnetization (μB/atom) = 0.004
# - raw total energy (eV/atom) = -4.428
data_BaLuZnSe3
_chemical_formula_sum 'Ba2 Lu2 Zn2 Se6'
_symmetry_space_group_name_H-M 'P 1'
_symmetry_Int_Tables_number 1
_cell_length_a 7.285
_cell_length_b 7.285
_cell_length_c 10.518
_cell_angle_alpha 90.00
_cell_angle_beta 90.00
_cell_angle_gamma 144.75
loop_
_symmetry_equiv_pos_as_xyz
'x,y,z'
loop_
_atom_site_label
_atom_site_type_symbol
_atom_site_fract_x
_atom_site_fract_y
_atom_site_fract_z
Ba1 Ba 0.247 0.753 0.750
Ba2 Ba 0.753 0.247 0.250
Lu1 Lu 0.000 0.000 0.000
Lu2 Lu 0.000 0.000 0.500
Zn1 Zn 0.482 0.518 0.250
Zn2 Zn 0.518 0.482 0.750
Se1 Se 0.071 0.929 0.250
Se2 Se 0.370 0.630 0.060
Se3 Se 0.370 0.630 0.440
Se4 Se 0.630 0.370 0.560
Se5 Se 0.630 0.370 0.940
Se6 Se 0.929 0.071 0.750

# NaGeSbOs, optimized geometry, DFT PBE-GGA
# - magnetization (μB/atom) = 0.002
# - raw total energy (eV/atom) = -4.563
data_NaGeSbOs
_chemical_formula_sum 'Na1 Ge1 Sb1 Os1'
_symmetry_space_group_name_H-M 'P 1'
_symmetry_Int_Tables_number 1
_cell_length_a 4.733
_cell_length_b 4.733
_cell_length_c 4.733
_cell_angle_alpha 60.00
_cell_angle_beta 60.00
_cell_angle_gamma 60.00
loop_
_symmetry_equiv_pos_as_xyz
'x,y,z'
loop_
_atom_site_label
_atom_site_type_symbol
_atom_site_fract_x
_atom_site_fract_y
_atom_site_fract_z
Na1 Na 0.000 0.000 0.000
Ge1 Ge 0.500 0.500 0.500
Sb1 Sb 0.250 0.250 0.250
Os1 Os 0.750 0.750 0.750

# TlGaNiTe3, optimized geometry, DFT PBE-GGA
# - magnetization (μB/atom) = 0.001
# - raw total energy (eV/atom) = -3.570
data_TlGaNiTe3
_chemical_formula_sum 'Tl2 Ga2 Ni2 Te6'
_symmetry_space_group_name_H-M 'P 1'
_symmetry_Int_Tables_number 1
_cell_length_a 6.991
_cell_length_b 6.991
_cell_length_c 11.721
_cell_angle_alpha 90.00
_cell_angle_beta 90.00
_cell_angle_gamma 146.33
loop_
_symmetry_equiv_pos_as_xyz
'x,y,z'
loop_
_atom_site_label
_atom_site_type_symbol
_atom_site_fract_x
_atom_site_fract_y
_atom_site_fract_z
Tl1 Tl 0.226 0.774 0.750
Tl2 Tl 0.774 0.226 0.250
Ga1 Ga 0.500 0.500 0.000
Ga2 Ga 0.500 0.500 0.500
Ni1 Ni 0.115 0.885 0.250
Ni2 Ni 0.885 0.115 0.750
Te1 Te 0.148 0.852 0.038
Te2 Te 0.148 0.852 0.462
Te3 Te 0.497 0.503 0.250
Te4 Te 0.503 0.497 0.750
Te5 Te 0.852 0.148 0.538
Te6 Te 0.852 0.148 0.962

# NaYAgSe3, optimized geometry, DFT PBE-GGA
# - magnetization (μB/atom) = 0.016
# - raw total energy (eV/atom) = -4.548
data_NaYAgSe3
_chemical_formula_sum 'Na2 Y2 Ag2 Se6'
_symmetry_space_group_name_H-M 'P 1'
_symmetry_Int_Tables_number 1
_cell_length_a 7.349
_cell_length_b 7.349
_cell_length_c 10.625
_cell_angle_alpha 90.00
_cell_angle_beta 90.00
_cell_angle_gamma 148.38
loop_
_symmetry_equiv_pos_as_xyz
'x,y,z'
loop_
_atom_site_label
_atom_site_type_symbol
_atom_site_fract_x
_atom_site_fract_y
_atom_site_fract_z
Na1 Na 0.236 0.764 0.750
Na2 Na 0.764 0.236 0.250
Y1 Y 0.000 0.000 0.000
Y2 Y 0.000 0.000 0.500
Ag1 Ag 0.471 0.529 0.250
Ag2 Ag 0.529 0.471 0.750
Se1 Se 0.092 0.908 0.250
Se2 Se 0.360 0.640 0.056
Se3 Se 0.360 0.640 0.444
Se4 Se 0.640 0.360 0.556
Se5 Se 0.640 0.360 0.944
Se6 Se 0.908 0.092 0.750

# Li4AlCu2Ge, optimized geometry, DFT PBE-GGA
# - raw total energy (eV/atom) = -3.184
data_Li4AlCu2Ge
_chemical_formula_sum 'Li4 Al1 Cu2 Ge1'
_symmetry_space_group_name_H-M 'P 1'
_symmetry_Int_Tables_number 1
_cell_length_a 4.224
_cell_length_b 4.224
_cell_length_c 5.970
_cell_angle_alpha 90.00
_cell_angle_beta 90.00
_cell_angle_gamma 90.00
loop_
_symmetry_equiv_pos_as_xyz
'x,y,z'
loop_
_atom_site_label
_atom_site_type_symbol
_atom_site_fract_x
_atom_site_fract_y
_atom_site_fract_z
Li1 Li 0.000 0.000 0.000
Li2 Li 0.000 0.500 0.239
Li3 Li 0.500 0.000 0.761
Li4 Li 0.500 0.500 0.500
Al1 Al 0.000 0.000 0.500
Cu1 Cu 0.000 0.500 0.752
Cu2 Cu 0.500 0.000 0.248
Ge1 Ge 0.500 0.500 0.000

# YPd2Pb, optimized geometry, DFT PBE-GGA
# - magnetization (μB/atom) = 0.001
# - raw total energy (eV/atom) = -5.738
data_YPd2Pb
_chemical_formula_sum 'Y2 Pd4 Pb2'
_symmetry_space_group_name_H-M 'P 1'
_symmetry_Int_Tables_number 1
_cell_length_a 4.260
_cell_length_b 5.871
_cell_length_c 6.868
_cell_angle_alpha 90.00
_cell_angle_beta 90.00
_cell_angle_gamma 90.00
loop_
_symmetry_equiv_pos_as_xyz
'x,y,z'
loop_
_atom_site_label
_atom_site_type_symbol
_atom_site_fract_x
_atom_site_fract_y
_atom_site_fract_z
Y1 Y 0.000 0.131 0.000
Y2 Y 0.000 0.869 0.500
Pd1 Pd 0.000 0.396 0.367
Pd2 Pd 0.000 0.604 0.867
Pd3 Pd 0.500 0.093 0.287
Pd4 Pd 0.500 0.907 0.787
Pb1 Pb 0.500 0.371 0.652
Pb2 Pb 0.500 0.629 0.152

# PrSmSb2Se2, optimized geometry, DFT PBE-GGA
# - magnetization (μB/atom) = 0.001
# - raw total energy (eV/atom) = -5.505
data_PrSmSb2Se2
_chemical_formula_sum 'Pr1 Sm1 Sb2 Se2'
_symmetry_space_group_name_H-M 'P 1'
_symmetry_Int_Tables_number 1
_cell_length_a 4.222
_cell_length_b 4.222
_cell_length_c 9.136
_cell_angle_alpha 90.00
_cell_angle_beta 90.00
_cell_angle_gamma 90.00
loop_
_symmetry_equiv_pos_as_xyz
'x,y,z'
loop_
_atom_site_label
_atom_site_type_symbol
_atom_site_fract_x
_atom_site_fract_y
_atom_site_fract_z
Pr1 Pr 0.000 0.000 0.000
Sm1 Sm 0.500 0.500 0.408
Sb1 Sb 0.000 0.500 0.702
Sb2 Sb 0.500 0.000 0.702
Se1 Se 0.000 0.000 0.335
Se2 Se 0.500 0.500 0.081

# Pr4Br4NCl, optimized geometry, DFT PBE-GGA
# - magnetization (μB/atom) = 0.000
# - raw total energy (eV/atom) = -5.267
data_Pr4Br4NCl
_chemical_formula_sum 'Pr4 Br4 N1 Cl1'
_symmetry_space_group_name_H-M 'P 1'
_symmetry_Int_Tables_number 1
_cell_length_a 9.366
_cell_length_b 9.366
_cell_length_c 8.200
_cell_angle_alpha 103.68
_cell_angle_beta 103.68
_cell_angle_gamma 23.92
loop_
_symmetry_equiv_pos_as_xyz
'x,y,z'
loop_
_atom_site_label
_atom_site_type_symbol
_atom_site_fract_x
_atom_site_fract_y
_atom_site_fract_z
Pr1 Pr 0.001 0.001 0.289
Pr2 Pr 0.361 0.361 0.421
Pr3 Pr 0.639 0.639 0.579
Pr4 Pr 0.999 0.999 0.711
Br1 Br 0.164 0.164 0.861
Br2 Br 0.171 0.171 0.323
Br3 Br 0.829 0.829 0.677
Br4 Br 0.836 0.836 0.139
N1 N 0.500 0.500 0.500
Cl1 Cl 0.500 0.500 0.000

# DyTePO6, optimized geometry, DFT PBE-GGA
# - magnetization (μB/atom) = 0.000
# - raw total energy (eV/atom) = -6.392
data_DyTePO6
_chemical_formula_sum 'Dy2 Te2 P2 O12'
_symmetry_space_group_name_H-M 'P 1'
_symmetry_Int_Tables_number 1
_cell_length_a 5.211
_cell_length_b 5.211
_cell_length_c 9.593
_cell_angle_alpha 90.00
_cell_angle_beta 90.00
_cell_angle_gamma 120.00
loop_
_symmetry_equiv_pos_as_xyz
'x,y,z'
loop_
_atom_site_label
_atom_site_type_symbol
_atom_site_fract_x
_atom_site_fract_y
_atom_site_fract_z
Dy1 Dy 0.000 0.000 0.000
Dy2 Dy 0.000 0.000 0.500
Te1 Te 0.333 0.667 0.250
Te2 Te 0.667 0.333 0.750
P1 P 0.333 0.667 0.750
P2 P 0.667 0.333 0.250
O1 O 0.015 0.366 0.137
O2 O 0.015 0.649 0.363
O3 O 0.351 0.366 0.363
O4 O 0.351 0.985 0.137
O5 O 0.366 0.015 0.637
O6 O 0.366 0.351 0.863
O7 O 0.634 0.649 0.137
O8 O 0.634 0.985 0.363
O9 O 0.649 0.015 0.863
O10 O 0.649 0.634 0.637
O11 O 0.985 0.351 0.637
O12 O 0.985 0.634 0.863

# Er2LuSc3Sb2Os, optimized geometry, DFT PBE-GGA
# - magnetization (μB/atom) = 0.001
# - raw total energy (eV/atom) = -6.523
data_Er2LuSc3Sb2Os
_chemical_formula_sum 'Er2 Lu1 Sc3 Sb2 Os1'
_symmetry_space_group_name_H-M 'P 1'
_symmetry_Int_Tables_number 1
_cell_length_a 4.157
_cell_length_b 7.779
_cell_length_c 7.779
_cell_angle_alpha 120.00
_cell_angle_beta 90.00
_cell_angle_gamma 90.00
loop_
_symmetry_equiv_pos_as_xyz
'x,y,z'
loop_
_atom_site_label
_atom_site_type_symbol
_atom_site_fract_x
_atom_site_fract_y
_atom_site_fract_z
Er1 Er 0.000 0.196 0.804
Er2 Er 0.000 0.804 0.196
Lu1 Lu 0.000 0.414 0.414
Sc1 Sc 0.500 0.032 0.032
Sc2 Sc 0.500 0.573 0.804
Sc3 Sc 0.500 0.804 0.573
Sb1 Sb 0.500 0.139 0.470
Sb2 Sb 0.500 0.470 0.139
Os1 Os 0.000 0.800 0.800

# Na3P2Pt3, optimized geometry, DFT PBE-GGA
# - magnetization (μB/atom) = 0.000
# - raw total energy (eV/atom) = -4.626
data_Na3P2Pt3
_chemical_formula_sum 'Na3 P2 Pt3'
_symmetry_space_group_name_H-M 'P 1'
_symmetry_Int_Tables_number 1
_cell_length_a 6.835
_cell_length_b 6.835
_cell_length_c 6.835
_cell_angle_alpha 47.76
_cell_angle_beta 47.76
_cell_angle_gamma 47.76
loop_
_symmetry_equiv_pos_as_xyz
'x,y,z'
loop_
_atom_site_label
_atom_site_type_symbol
_atom_site_fract_x
_atom_site_fract_y
_atom_site_fract_z
Na1 Na 0.000 0.000 0.000
Na2 Na 0.417 0.417 0.417
Na3 Na 0.583 0.583 0.583
P1 P 0.262 0.262 0.262
P2 P 0.738 0.738 0.738
Pt1 Pt 0.000 0.000 0.500
Pt2 Pt 0.000 0.500 0.000
Pt3 Pt 0.500 0.000 0.000

# LuAgIr, optimized geometry, DFT PBE-GGA
# - magnetization (μB/atom) = 0.002
# - ΔE_f (meV per atom) = -189.3
data_LuAgIr
_chemical_formula_sum 'Lu1 Ag1 Ir1'
_symmetry_space_group_name_H-M 'P 1'
_symmetry_Int_Tables_number 1
_cell_length_a 4.548
_cell_length_b 4.548
_cell_length_c 4.548
_cell_angle_alpha 60.00
_cell_angle_beta 60.00
_cell_angle_gamma 60.00
loop_
_symmetry_equiv_pos_as_xyz
'x,y,z'
loop_
_atom_site_label
_atom_site_type_symbol
_atom_site_fract_x
_atom_site_fract_y
_atom_site_fract_z
Lu1 Lu 0.000 0.000 0.000
Ag1 Ag 0.500 0.500 0.500
Ir1 Ir 0.750 0.750 0.750

# AcZrPa, optimized geometry, DFT PBE-GGA
# - magnetization (μB/atom) = 0.007
# - ΔE_f (meV per atom) = 927.0
data_AcZrPa
_chemical_formula_sum 'Ac1 Zr1 Pa1'
_symmetry_space_group_name_H-M 'P 1'
_symmetry_Int_Tables_number 1
_cell_length_a 5.201
_cell_length_b 5.201
_cell_length_c 5.201
_cell_angle_alpha 60.00
_cell_angle_beta 60.00
_cell_angle_gamma 60.00
loop_
_symmetry_equiv_pos_as_xyz
'x,y,z'
loop_
_atom_site_label
_atom_site_type_symbol
_atom_site_fract_x
_atom_site_fract_y
_atom_site_fract_z
Ac1 Ac 0.000 0.000 0.000
Zr1 Zr 0.250 0.250 0.250
Pa1 Pa 0.500 0.500 0.500

# AcAs2Pd4, optimized geometry, DFT PBE-GGA
# - magnetization (μB/atom) = 0.001
# - raw total energy (eV/atom) = -5.626
data_AcAs2Pd4
_chemical_formula_sum 'Ac2 As4 Pd8'
_symmetry_space_group_name_H-M 'P 1'
_symmetry_Int_Tables_number 1
_cell_length_a 7.981
_cell_length_b 7.981
_cell_length_c 4.103
_cell_angle_alpha 90.00
_cell_angle_beta 90.00
_cell_angle_gamma 90.00
loop_
_symmetry_equiv_pos_as_xyz
'x,y,z'
loop_
_atom_site_label
_atom_site_type_symbol
_atom_site_fract_x
_atom_site_fract_y
_atom_site_fract_z
Ac1 Ac 0.000 0.000 0.000
Ac2 Ac 0.500 0.500 0.500
As1 As 0.219 0.219 0.500
As2 As 0.281 0.719 0.000
As3 As 0.719 0.281 0.000
As4 As 0.781 0.781 0.500
Pd1 Pd 0.094 0.654 0.500
Pd2 Pd 0.154 0.406 0.000
Pd3 Pd 0.346 0.906 0.500
Pd4 Pd 0.406 0.154 0.000
Pd5 Pd 0.594 0.846 0.000
Pd6 Pd 0.654 0.094 0.500
Pd7 Pd 0.846 0.594 0.000
Pd8 Pd 0.906 0.346 0.500

# RbLuPO, optimized geometry, DFT PBE-GGA
# - magnetization (μB/atom) = 0.249
# - raw total energy (eV/atom) = -5.419
data_RbLuPO
_chemical_formula_sum 'Rb2 Lu2 P2 O2'
_symmetry_space_group_name_H-M 'P 1'
_symmetry_Int_Tables_number 1
_cell_length_a 4.649
_cell_length_b 8.023
_cell_length_c 6.598
_cell_angle_alpha 90.00
_cell_angle_beta 90.00
_cell_angle_gamma 90.00
loop_
_symmetry_equiv_pos_as_xyz
'x,y,z'
loop_
_atom_site_label
_atom_site_type_symbol
_atom_site_fract_x
_atom_site_fract_y
_atom_site_fract_z
Rb1 Rb 0.000 0.210 0.000
Rb2 Rb 0.000 0.790 0.500
Lu1 Lu 0.500 0.377 0.571
Lu2 Lu 0.500 0.623 0.071
P1 P 0.000 0.213 0.493
P2 P 0.000 0.787 0.993
O1 O 0.500 0.423 0.878
O2 O 0.500 0.577 0.378

# MgCu4NiSn2, optimized geometry, DFT PBE-GGA
# - magnetization (μB/atom) = 0.000
# - raw total energy (eV/atom) = -3.751
data_MgCu4NiSn2
_chemical_formula_sum 'Mg1 Cu4 Ni1 Sn2'
_symmetry_space_group_name_H-M 'P 1'
_symmetry_Int_Tables_number 1
_cell_length_a 4.408
_cell_length_b 4.408
_cell_length_c 6.213
_cell_angle_alpha 90.00
_cell_angle_beta 90.00
_cell_angle_gamma 90.00
loop_
_symmetry_equiv_pos_as_xyz
'x,y,z'
loop_
_atom_site_label
_atom_site_type_symbol
_atom_site_fract_x
_atom_site_fract_y
_atom_site_fract_z
Mg1 Mg 0.000 0.000 0.000
Cu1 Cu 0.000 0.500 0.263
Cu2 Cu 0.000 0.500 0.737
Cu3 Cu 0.500 0.000 0.263
Cu4 Cu 0.500 0.000 0.737
Ni1 Ni 0.500 0.500 0.500
Sn1 Sn 0.000 0.000 0.500
Sn2 Sn 0.500 0.500 0.000

# Dy3HfTl2C2, optimized geometry, DFT PBE-GGA
# - magnetization (μB/atom) = 0.009
# - raw total energy (eV/atom) = -6.281
data_Dy3HfTl2C2
_chemical_formula_sum 'Dy3 Hf1 Tl2 C2'
_symmetry_space_group_name_H-M 'P 1'
_symmetry_Int_Tables_number 1
_cell_length_a 3.525
_cell_length_b 3.525
_cell_length_c 15.999
_cell_angle_alpha 90.00
_cell_angle_beta 90.00
_cell_angle_gamma 120.00
loop_
_symmetry_equiv_pos_as_xyz
'x,y,z'
loop_
_atom_site_label
_atom_site_type_symbol
_atom_site_fract_x
_atom_site_fract_y
_atom_site_fract_z
Dy1 Dy 0.000 0.000 0.000
Dy2 Dy 0.000 0.000 0.340
Dy3 Dy 0.667 0.333 0.829
Hf1 Hf 0.667 0.333 0.500
Tl1 Tl 0.000 0.000 0.660
Tl2 Tl 0.667 0.333 0.173
C1 C 0.333 0.667 0.435
C2 C 0.333 0.667 0.915

# Er3Co2Sn3Pd, optimized geometry, DFT PBE-GGA
# - magnetization (μB/atom) = 0.002
# - raw total energy (eV/atom) = -5.621
data_Er3Co2Sn3Pd
_chemical_formula_sum 'Er3 Co2 Sn3 Pd1'
_symmetry_space_group_name_H-M 'P 1'
_symmetry_Int_Tables_number 1
_cell_length_a 7.402
_cell_length_b 7.402
_cell_length_c 3.827
_cell_angle_alpha 90.00
_cell_angle_beta 90.00
_cell_angle_gamma 120.00
loop_
_symmetry_equiv_pos_as_xyz
'x,y,z'
loop_
_atom_site_label
_atom_site_type_symbol
_atom_site_fract_x
_atom_site_fract_y
_atom_site_fract_z
Er1 Er 0.000 0.406 0.000
Er2 Er 0.406 0.000 0.000
Er3 Er 0.594 0.594 0.000
Co1 Co 0.333 0.667 0.500
Co2 Co 0.667 0.333 0.500
Sn1 Sn 0.000 0.725 0.500
Sn2 Sn 0.275 0.275 0.500
Sn3 Sn 0.725 0.000 0.500
Pd1 Pd 0.000 0.000 0.000

# Pr2Al5Hg, optimized geometry, DFT PBE-GGA
# - magnetization (μB/atom) = 0.001
# - raw total energy (eV/atom) = -3.968
data_Pr2Al5Hg
_chemical_formula_sum 'Pr2 Al5 Hg1'
_symmetry_space_group_name_H-M 'P 1'
_symmetry_Int_Tables_number 1
_cell_length_a 4.658
_cell_length_b 6.611
_cell_length_c 6.611
_cell_angle_alpha 60.86
_cell_angle_beta 90.00
_cell_angle_gamma 90.00
loop_
_symmetry_equiv_pos_as_xyz
'x,y,z'
loop_
_atom_site_label
_atom_site_type_symbol
_atom_site_fract_x
_atom_site_fract_y
_atom_site_fract_z
Pr1 Pr 0.000 0.000 0.000
Pr2 Pr 0.500 0.323 0.323
Al1 Al 0.000 0.518 0.518
Al2 Al 0.000 0.518 0.936
Al3 Al 0.000 0.936 0.518
Al4 Al 0.500 0.375 0.796
Al5 Al 0.500 0.796 0.375
Hg1 Hg 0.500 0.813 0.813

# Ba3Hg2W2, optimized geometry, DFT PBE-GGA
# - magnetization (μB/atom) = 0.954
# - raw total energy (eV/atom) = -3.362
data_Ba3Hg2W2
_chemical_formula_sum 'Ba3 Hg2 W2'
_symmetry_space_group_name_H-M 'P 1'
_symmetry_Int_Tables_number 1
_cell_length_a 9.800
_cell_length_b 9.800
_cell_length_c 9.800
_cell_angle_alpha 33.39
_cell_angle_beta 33.39
_cell_angle_gamma 33.39
loop_
_symmetry_equiv_pos_as_xyz
'x,y,z'
loop_
_atom_site_label
_atom_site_type_symbol
_atom_site_fract_x
_atom_site_fract_y
_atom_site_fract_z
Ba1 Ba 0.000 0.000 0.000
Ba2 Ba 0.238 0.238 0.238
Ba3 Ba 0.757 0.757 0.757
Hg1 Hg 0.405 0.405 0.405
Hg2 Hg 0.877 0.877 0.877
W1 W 0.118 0.118 0.118
W2 W 0.607 0.607 0.607

V in Å³ per cell, matching the order above: 322, 75, 318, 301, 107, 172, 163, 283, 226, 218, 160, 67, 100, 261, 246, 121, 172, 182, 178, 254